[1]
DFT (GGA-PBE) results for a geometry-optimized K4Er3BiTe8 structure. Values from VASP.

The structure in Quantum ESPRESSO input format:
```
&SYSTEM
  ibrav = 0, nat = 16, ntyp = 4
/
ATOMIC_SPECIES
Te 127.60 Te.upf
Er 167.26 Er.upf
K 39.10 K.upf
Bi 208.98 Bi.upf
CELL_PARAMETERS angstrom
9.011 0.000 0.000
0.000 9.738 0.503
-4.505 -4.505 6.373
ATOMIC_POSITIONS angstrom
Te 0.000 4.737 3.407
Er 2.253 2.617 3.438
Te 4.505 4.755 3.357
K 4.505 0.000 0.000
Te 6.714 2.705 0.345
K -2.253 -2.252 3.187
Te -2.209 2.529 6.532
Te 2.209 2.529 6.532
Er -2.253 2.617 3.438
Te 4.505 0.496 3.470
Bi 0.000 4.869 0.252
K 0.000 0.000 0.000
Te 0.000 0.479 3.519
Er 4.505 4.869 0.252
Te 2.297 2.705 0.345
K 2.253 -2.252 3.187
```

Properties
* crystal system: monoclinic
* symmetry: C2/m, No. 12
* ΔE_f (raw): -19.038 eV per formula unit

[2]
DFT (GGA-PBE) results for a geometry-optimized Tb6Pm2Ho3Pb structure. Values from VASP.

The structure in Quantum ESPRESSO input format:
```
&SYSTEM
  ibrav = 0, nat = 12, ntyp = 4
/
ATOMIC_SPECIES
Ho 164.93 Ho.upf
Tb 158.93 Tb.upf
Pm 145.00 Pm.upf
Pb 207.20 Pb.upf
CELL_PARAMETERS angstrom
6.112 -0.003 0.009
-3.057 5.293 0.009
-1.040 -1.800 11.592
ATOMIC_POSITIONS angstrom
Ho -2.040 3.506 5.805
Tb 0.024 3.503 8.696
Tb -1.006 1.719 2.913
Pm 0.005 3.525 0.009
Tb -0.033 -0.058 8.672
Tb 2.049 3.548 2.937
Pm 3.050 1.766 0.009
Tb 3.022 1.772 8.696
Ho 1.008 1.745 5.805
Tb 1.992 -0.013 2.913
Ho 4.056 -0.015 5.805
Pb 0.000 0.000 0.000
```

Properties
* crystal system: monoclinic
* uncorrected energy: -4.624 eV per atom
* symmetry: C2/m, No. 12

[3]
DFT (GGA-PBE) results for a geometry-optimized LaCd2Cl structure. Values from VASP.

The structure in Quantum ESPRESSO input format:
```
&SYSTEM
  ibrav = 0, nat = 4, ntyp = 3
/
ATOMIC_SPECIES
Cd 112.41 Cd.upf
La 138.91 La.upf
Cl 35.45 Cl.upf
CELL_PARAMETERS angstrom
6.728 -0.010 0.000
4.181 5.271 0.000
-5.455 -2.631 2.931
ATOMIC_POSITIONS angstrom
Cd 0.000 0.000 0.000
La 3.364 -0.005 1.466
Cd 5.455 2.631 0.000
Cl 2.091 2.635 1.466
```

Properties
* crystal system: tetragonal
* symmetry: I4/mmm, No. 139
* ΔE_f (raw): -2.975 eV per formula unit

[4]
DFT (GGA-PBE) results for a geometry-optimized RbNbS structure. Values from VASP.

The structure in Quantum ESPRESSO input format:
```
&SYSTEM
  ibrav = 0, nat = 6, ntyp = 3
/
ATOMIC_SPECIES
Nb 92.91 Nb.upf
S 32.06 S.upf
Rb 85.47 Rb.upf
CELL_PARAMETERS angstrom
3.958 0.000 0.000
0.000 3.958 0.000
0.000 0.000 11.678
ATOMIC_POSITIONS angstrom
Nb 0.000 0.000 0.000
Nb 1.979 1.979 0.000
S 0.000 1.979 10.020
Rb 1.979 0.000 8.086
Rb 0.000 1.979 3.592
S 1.979 0.000 1.658
```

Properties
* crystal system: tetragonal
* symmetry: P4/nmm, No. 129
* ΔE_f (raw): -2.112 eV per formula unit

[5]
DFT (GGA-PBE) results for a geometry-optimized Tb2Ho3NpN6 structure. Values from VASP.

The structure in Quantum ESPRESSO input format:
```
&SYSTEM
  ibrav = 0, nat = 12, ntyp = 4
/
ATOMIC_SPECIES
N 14.01 N.upf
Np 237.00 Np.upf
Tb 158.93 Tb.upf
Ho 164.93 Ho.upf
CELL_PARAMETERS angstrom
-3.046 4.344 -2.778
2.005 -4.711 -3.106
-4.478 -2.605 2.981
ATOMIC_POSITIONS angstrom
N -3.360 -3.686 -2.267
N -2.158 0.713 -0.635
Np 0.000 0.000 0.000
N -4.970 -0.800 -2.163
Tb -1.362 1.325 -2.887
N -0.549 -2.173 -0.740
Ho -4.437 1.522 -1.342
Ho -1.082 -4.495 -1.560
N -1.882 -0.913 -3.773
N -3.637 -2.060 0.870
Ho -2.759 -1.486 -1.451
Tb 0.321 -1.692 -2.997
```

Properties
* crystal system: monoclinic
* symmetry: C2/m, No. 12
* ΔE_f (raw): -19.409 eV per formula unit

[6]
DFT (GGA-PBE) results for a geometry-optimized Zn2InRu structure. Values from VASP.

The structure in Quantum ESPRESSO input format:
```
&SYSTEM
  ibrav = 0, nat = 4, ntyp = 3
/
ATOMIC_SPECIES
Zn 65.41 Zn.upf
Ru 101.07 Ru.upf
In 114.82 In.upf
CELL_PARAMETERS angstrom
-0.625 0.638 3.259
-0.539 -3.315 0.546
4.957 -4.012 1.737
ATOMIC_POSITIONS angstrom
Zn 4.926 -4.008 1.731
Zn 0.661 -1.496 2.172
Ru 3.087 -5.186 3.360
In 2.284 -3.672 1.158
```

Properties
* crystal system: orthorhombic
* uncorrected energy: -3.607 eV per atom
* symmetry: Pmm2, No. 25

Summary of total magnetization in μB per formula unit
0.00; 0.00; 0.00; 0.00; 2.71; 0.00
(order as listed above)